# BaLiMn2

BaLiMn2 at its PBEsol-relaxed geometry (meta-GGA SCAN, the Alexandria database).

Values from the calculation:
crystal system = tetragonal
energy of formation from the pure elements = 145 kJ/mol of formula units

abc: 3.450 3.450 7.360
angles: 90.00 90.00 90.00
Space group P4/mmm (No. 123)
Asymmetric unit:
Ba: 0.000 0.000 0.000 [1 per cell]
Li: 0.000 0.000 0.500 [1 per cell]
Mn: 0.500 0.500 0.324 [2 per cell]

=====

# Ba2LiMo

Ba2LiMo at its PBEsol-relaxed geometry (meta-GGA SCAN, the Alexandria database).

Values from the calculation:
crystal system = tetragonal
energy of formation from the pure elements = 303 kJ/mol of formula units

abc: 3.742 3.742 8.829
angles: 90.00 90.00 90.00
Space group P4mm (No. 99)
Asymmetric unit:
Ba: 0.000 0.000 0.000 [1 per cell]
Ba: 0.500 0.500 0.404 [1 per cell]
Li: 0.000 0.000 0.649 [1 per cell]
Mo: 0.500 0.500 0.758 [1 per cell]

=====

# Ba2LiMo

Ba2LiMo at its PBEsol-relaxed geometry (meta-GGA SCAN, the Alexandria database).

Values from the calculation:
crystal system = cubic
energy of formation from the pure elements = 295 kJ/mol of formula units

abc: 8.046 8.046 8.046
angles: 90.00 90.00 90.00
Space group Fm-3m (No. 225)
Asymmetric unit:
Ba: 0.250 0.250 0.250 [8 per cell]
Li: 0.000 0.000 0.000 [4 per cell]
Mo: 0.000 0.000 0.500 [4 per cell]

=====

# Ba2LiMo

Ba2LiMo at its PBEsol-relaxed geometry (meta-GGA SCAN, the Alexandria database).

Values from the calculation:
crystal system = orthorhombic
energy of formation from the pure elements = 312 kJ/mol of formula units

abc: 3.745 5.648 11.766
angles: 90.00 90.00 90.00
Space group Imm2 (No. 44)
Asymmetric unit:
Ba: 0.000 0.000 0.000 [2 per cell]
Ba: 0.000 0.500 0.205 [2 per cell]
Li: 0.000 0.000 0.411 [2 per cell]
Mo: 0.000 0.500 0.735 [2 per cell]

=====

# Ba2LiN

Ba2LiN at its PBEsol-relaxed geometry (meta-GGA SCAN, the Alexandria database).

Values from the calculation:
crystal system = tetragonal
formation energy without anion corrections = -395 meV per atom

abc: 8.008 8.008 15.846
angles: 90.00 90.00 90.00
Space group P4_2/nmc (No. 137, origin choice 2)
Asymmetric unit:
Ba: 0.015 0.750 0.165 [8 per cell]
Ba: 0.027 0.250 0.140 [8 per cell]
Li: 0.022 0.750 0.464 [8 per cell]
N: 0.002 0.250 0.661 [8 per cell]

=====

# BaLiN

BaLiN at its PBEsol-relaxed geometry (meta-GGA SCAN, the Alexandria database).

Values from the calculation:
crystal system = orthorhombic
formation energy without anion corrections = -510 meV per atom

abc: 9.860 3.807 5.885
angles: 90.00 90.00 90.00
Space group Pnma (No. 62)
Asymmetric unit:
Ba: 0.161 0.250 0.022 [4 per cell]
Li: 0.031 0.250 0.579 [4 per cell]
N: 0.078 0.750 0.720 [4 per cell]

=====

# Ba7Na5Li3N3

Ba7Na5Li3N3 at its PBEsol-relaxed geometry (meta-GGA SCAN, the Alexandria database).

Values from the calculation:
crystal system = cubic
formation energy without anion corrections = -269 meV per atom

abc: 17.417 17.417 17.417
angles: 90.00 90.00 90.00
Space group F-43m (No. 216)
Asymmetric unit:
Ba: 0.000 0.000 0.209 [24 per cell]
Ba: 0.104 0.104 0.604 [16 per cell]
Ba: 0.105 0.105 0.395 [16 per cell]
Na: 0.009 0.250 0.250 [24 per cell]
Na: 0.171 0.171 0.829 [16 per cell]
Li: 0.000 0.000 0.000 [4 per cell]
Li: 0.000 0.000 0.500 [4 per cell]
Li: 0.182 0.182 0.182 [16 per cell]
N: 0.000 0.000 0.352 [24 per cell]

=====

# BaLiRhN2

BaLiRhN2 at its PBEsol-relaxed geometry (meta-GGA SCAN, the Alexandria database).

Values from the calculation:
crystal system = tetragonal
formation energy without anion corrections = 990 meV per atom

abc: 4.193 4.193 4.147
angles: 90.00 90.00 90.00
Space group P4/mmm (No. 123)
Asymmetric unit:
Ba: 0.000 0.000 0.000 [1 per cell]
Li: 0.500 0.500 0.500 [1 per cell]
Rh: 0.500 0.500 0.000 [1 per cell]
N: 0.000 0.500 0.500 [2 per cell]

=====

| no. | magnetic moment (μB/cell) |
| --- | --- |
| 1 | 8.0 |
| 2 | 2.6 |
| 3 | 12.6 |
| 4 | 5.9 |
| 5 | 2.7 |
| 6 | 0.0 |
| 7 | 0.9 |
| 8 | 4.0 |